(1)
{"formula": "K2YCd", "functional": "GGA-PBE", "state": "optimized geometry", "n_ef_per_ev_atom": 1.068, "formation_energy_ev_per_fu": 1.5, "dft_energy_ev_per_atom": -2.014, "cell": [[-2.547, 6.241, -2.546], [-4.460, -5.103, 2.447], [0.187, 1.443, 3.349]], "species": ["K", "K", "Cd", "Y"], "frac_coords": [[0.000, 0.000, 0.000], [0.500, 0.500, 0.000], [0.000, 0.500, 0.500], [0.500, 0.000, 0.500]]}

---

(2)
{"formula": "CsIO3", "functional": "GGA-PBE", "state": "optimized geometry", "n_ef_per_ev_atom": 0.000, "dft_energy_ev_per_atom": -4.347, "formation_energy_uncorrected_ev_per_atom": -0.8915, "cell": [[-5.932, -2.663, 3.020], [-1.020, -3.820, -5.373], [3.630, -2.311, 5.093]], "species": ["Cs", "Cs", "O", "O", "O", "O", "O", "O", "I", "I"], "frac_coords": [[0.865, 0.666, 0.333], [0.365, 0.334, 0.667], [0.188, 0.284, 0.141], [0.187, 0.857, 0.715], [0.687, 0.143, 0.285], [0.688, 0.716, 0.859], [0.687, 0.142, 0.858], [0.187, 0.858, 0.142], [0.574, 0.000, 0.000], [0.074, 0.000, 0.000]]}

---

Please write out number 2 again, unchanged.
{"formula": "CsIO3", "functional": "GGA-PBE", "state": "optimized geometry", "n_ef_per_ev_atom": 0.000, "dft_energy_ev_per_atom": -4.347, "formation_energy_uncorrected_ev_per_atom": -0.8915, "cell": [[-5.932, -2.663, 3.020], [-1.020, -3.820, -5.373], [3.630, -2.311, 5.093]], "species": ["Cs", "Cs", "O", "O", "O", "O", "O", "O", "I", "I"], "frac_coords": [[0.865, 0.666, 0.333], [0.365, 0.334, 0.667], [0.188, 0.284, 0.141], [0.187, 0.857, 0.715], [0.687, 0.143, 0.285], [0.688, 0.716, 0.859], [0.687, 0.142, 0.858], [0.187, 0.858, 0.142], [0.574, 0.000, 0.000], [0.074, 0.000, 0.000]]}

---

Repeat the first record exactly.
{"formula": "K2YCd", "functional": "GGA-PBE", "state": "optimized geometry", "n_ef_per_ev_atom": 1.068, "formation_energy_ev_per_fu": 1.5, "dft_energy_ev_per_atom": -2.014, "cell": [[-2.547, 6.241, -2.546], [-4.460, -5.103, 2.447], [0.187, 1.443, 3.349]], "species": ["K", "K", "Cd", "Y"], "frac_coords": [[0.000, 0.000, 0.000], [0.500, 0.500, 0.000], [0.000, 0.500, 0.500], [0.500, 0.000, 0.500]]}